Entry 1:
First-principles (PBE-GGA) data for crystalline CsAgSb2S4 at its relaxed geometry, as listed in Alexandria.

Computed properties:
Density in g cm⁻³: 4.7
Total magnetic moment in μB per formula unit: 0.00
Uncorrected formation energy in eV per atom: -0.379
VASP energy in eV per atom: -3.936

Cell and atoms, written as CIF:
```
data_CsAgSb2S4
_space_group_name_H-M_alt 'P 1'
_space_group_IT_number 1
_space_group_name_Hall 'P 1'
_cell_length_a 4.1799
_cell_length_b 7.1719
_cell_length_c 15.0011
_cell_angle_alpha 90.00
_cell_angle_beta 90.00
_cell_angle_gamma 106.94
loop_
_atom_site_label
_atom_site_type_symbol
_atom_site_fract_x
_atom_site_fract_y
_atom_site_fract_z
Cs1 Cs 0.1072 0.2143 0.7500
Cs2 Cs 0.8928 0.7857 0.2500
Ag1 Ag 0.8296 0.6591 0.7500
Ag2 Ag 0.1704 0.3409 0.2500
Sb1 Sb 0.3667 0.7334 0.5561
Sb2 Sb 0.6333 0.2666 0.0561
Sb3 Sb 0.6333 0.2666 0.4439
Sb4 Sb 0.3667 0.7334 0.9439
S1 S 0.2600 0.5200 0.0938
S2 S 0.7400 0.4800 0.5938
S3 S 0.7400 0.4800 0.9062
S4 S 0.2600 0.5200 0.4062
S5 S 0.0000 0.0000 0.5000
S6 S 0.0000 0.0000 0.0000
S7 S 0.4165 0.8331 0.7500
S8 S 0.5835 0.1669 0.2500
```

Entry 2:
First-principles (PBE-GGA) data for crystalline CsAg2Sb2S6 at its relaxed geometry, as listed in Alexandria.

Computed properties:
Density in g cm⁻³: 3.4
Total magnetic moment in μB per formula unit: 0.00
Uncorrected formation energy in eV per atom: -0.265
VASP energy in eV per atom: -3.862

Cell and atoms, written as CIF:
```
data_CsAg2Sb2S6
_space_group_name_H-M_alt 'P 1'
_space_group_IT_number 1
_space_group_name_Hall 'P 1'
_cell_length_a 6.8166
_cell_length_b 10.7099
_cell_length_c 7.1639
_cell_angle_alpha 126.76
_cell_angle_beta 90.04
_cell_angle_gamma 71.40
loop_
_atom_site_label
_atom_site_type_symbol
_atom_site_fract_x
_atom_site_fract_y
_atom_site_fract_z
Cs1 Cs 0.5000 0.0000 0.5000
Ag1 Ag 0.1564 0.6864 0.7184
Ag2 Ag 0.8436 0.3136 0.2816
Sb1 Sb 0.7859 0.4280 0.8823
Sb2 Sb 0.2141 0.5720 0.1177
S1 S 0.4295 0.6445 0.9326
S2 S 0.0742 0.3557 0.0677
S3 S 0.0918 0.8167 0.5308
S4 S 0.9258 0.6443 0.9323
S5 S 0.9082 0.1833 0.4692
S6 S 0.5705 0.3555 0.0674
```

Entry 3:
First-principles (PBE-GGA) data for crystalline Cs2Si2AgS6 at its relaxed geometry, as listed in Alexandria.

Computed properties:
Density in g cm⁻³: 3.0
Total magnetic moment in μB per formula unit: 0.00
Uncorrected formation energy in eV per atom: -0.606
VASP energy in eV per atom: -4.257

Cell and atoms, written as CIF:
```
data_Cs2Si2AgS6
_space_group_name_H-M_alt 'P 1'
_space_group_IT_number 1
_space_group_name_Hall 'P 1'
_cell_length_a 7.1015
_cell_length_b 7.1015
_cell_length_c 8.7997
_cell_angle_alpha 66.20
_cell_angle_beta 66.20
_cell_angle_gamma 60.00
loop_
_atom_site_label
_atom_site_type_symbol
_atom_site_fract_x
_atom_site_fract_y
_atom_site_fract_z
Cs1 Cs 0.7825 0.7825 0.6524
Cs2 Cs 0.2175 0.2175 0.3476
Si1 Si 0.4080 0.4080 0.7759
Si2 Si 0.5920 0.5920 0.2241
Ag1 Ag 0.0000 0.0000 0.0000
S1 S 0.7546 0.7546 0.2355
S2 S 0.2552 0.7546 0.2355
S3 S 0.7546 0.2552 0.2355
S4 S 0.2454 0.7448 0.7645
S5 S 0.7448 0.2454 0.7645
S6 S 0.2454 0.2454 0.7645
```

Entry 4:
First-principles (PBE-GGA) data for crystalline Cs2SiAgS4 at its relaxed geometry, as listed in Alexandria.

Computed properties:
Density in g cm⁻³: 3.4
Total magnetic moment in μB per formula unit: 0.00
Uncorrected formation energy in eV per atom: -0.797
VASP energy in eV per atom: -4.108

Cell and atoms, written as CIF:
```
data_Cs2SiAgS4
_space_group_name_H-M_alt 'P 1'
_space_group_IT_number 1
_space_group_name_Hall 'P 1'
_cell_length_a 6.3016
_cell_length_b 7.6876
_cell_length_c 12.2806
_cell_angle_alpha 83.96
_cell_angle_beta 75.13
_cell_angle_gamma 65.80
loop_
_atom_site_label
_atom_site_type_symbol
_atom_site_fract_x
_atom_site_fract_y
_atom_site_fract_z
Cs1 Cs 0.1771 0.0000 0.6459
Cs2 Cs 0.8229 0.0000 0.3541
Cs3 Cs 0.5729 0.5000 0.8541
Cs4 Cs 0.9271 0.5000 0.1459
Si1 Si 0.2500 0.5000 0.5000
Si2 Si 0.5000 0.0000 0.0000
Ag1 Ag 0.7500 0.5000 0.5000
Ag2 Ag 0.0000 0.0000 0.0000
S1 S 0.3341 0.8232 0.0995
S2 S 0.2569 0.1768 0.9005
S3 S 0.8426 0.8232 0.9005
S4 S 0.5663 0.1768 0.0995
S5 S 0.4159 0.6768 0.4005
S6 S 0.4931 0.3232 0.5995
S7 S 0.9074 0.6768 0.5995
S8 S 0.1837 0.3232 0.4005
```

What did the first record say?
First-principles (PBE-GGA) data for crystalline CsAgSb2S4 at its relaxed geometry, as listed in Alexandria.

Computed properties:
Density in g cm⁻³: 4.7
Total magnetic moment in μB per formula unit: 0.00
Uncorrected formation energy in eV per atom: -0.379
VASP energy in eV per atom: -3.936

Cell and atoms, written as CIF:
```
data_CsAgSb2S4
_space_group_name_H-M_alt 'P 1'
_space_group_IT_number 1
_space_group_name_Hall 'P 1'
_cell_length_a 4.1799
_cell_length_b 7.1719
_cell_length_c 15.0011
_cell_angle_alpha 90.00
_cell_angle_beta 90.00
_cell_angle_gamma 106.94
loop_
_atom_site_label
_atom_site_type_symbol
_atom_site_fract_x
_atom_site_fract_y
_atom_site_fract_z
Cs1 Cs 0.1072 0.2143 0.7500
Cs2 Cs 0.8928 0.7857 0.2500
Ag1 Ag 0.8296 0.6591 0.7500
Ag2 Ag 0.1704 0.3409 0.2500
Sb1 Sb 0.3667 0.7334 0.5561
Sb2 Sb 0.6333 0.2666 0.0561
Sb3 Sb 0.6333 0.2666 0.4439
Sb4 Sb 0.3667 0.7334 0.9439
S1 S 0.2600 0.5200 0.0938
S2 S 0.7400 0.4800 0.5938
S3 S 0.7400 0.4800 0.9062
S4 S 0.2600 0.5200 0.4062
S5 S 0.0000 0.0000 0.5000
S6 S 0.0000 0.0000 0.0000
S7 S 0.4165 0.8331 0.7500
S8 S 0.5835 0.1669 0.2500
```